Entry 1:
# PBE-GGA LiCeGe2Ru, relaxed
data_LiCeGe2Ru
_cell_length_a 4.1972
_cell_length_b 4.1972
_cell_length_c 10.3951
_cell_angle_alpha 90.00
_cell_angle_beta 90.00
_cell_angle_gamma 90.00
_symmetry_space_group_name_H-M 'I -4 m 2'
_symmetry_Int_Tables_number 119
_symmetry_space_group_name_Hall 'I -4 -2'
loop_
_atom_site_label
_atom_site_type_symbol
_atom_site_fract_x
_atom_site_fract_y
_atom_site_fract_z
Li1 Li 0.0000 0.0000 0.0000
Ce1 Ce 0.0000 0.5000 0.7500
Ge1 Ge 0.0000 0.5000 0.1259
Ru1 Ru 0.0000 0.0000 0.5000
# E_tot ... -57.84 eV/cell
# Density ... 7.1 g/cm³
# E_form ... -0.51 eV/atom


Entry 2:
# PBE-GGA DyUTeSe2, relaxed
data_DyUTeSe2
_cell_length_a 4.5775
_cell_length_b 4.5775
_cell_length_c 13.7299
_cell_angle_alpha 90.00
_cell_angle_beta 90.00
_cell_angle_gamma 90.00
_symmetry_space_group_name_H-M 'I 4 m m'
_symmetry_Int_Tables_number 107
_symmetry_space_group_name_Hall 'I 4 -2'
loop_
_atom_site_label
_atom_site_type_symbol
_atom_site_fract_x
_atom_site_fract_y
_atom_site_fract_z
Dy1 Dy 0.0000 0.0000 0.0000
U1 U 0.0000 0.0000 0.2595
Te1 Te 0.0000 0.0000 0.6351
Se1 Se 0.0000 0.5000 0.3817
# ΔE_f (raw) ... -463 kJ/mol of formula units
# E_tot ... -61.59 eV/cell
# Density ... 7.9 g/cm³


Entry 3:
# PBE-GGA ZnSnHg3, relaxed
data_ZnSnHg3
_cell_length_a 5.7927
_cell_length_b 5.7927
_cell_length_c 5.7927
_cell_angle_alpha 90.00
_cell_angle_beta 90.00
_cell_angle_gamma 90.00
_symmetry_space_group_name_H-M 'P m -3 m'
_symmetry_Int_Tables_number 221
_symmetry_space_group_name_Hall '-P 4 2 3'
loop_
_atom_site_label
_atom_site_type_symbol
_atom_site_fract_x
_atom_site_fract_y
_atom_site_fract_z
Zn1 Zn 0.0000 0.0000 0.0000
Sn1 Sn 0.5000 0.5000 0.5000
Hg1 Hg 0.0000 0.5000 0.5000
# E_tot ... -4.80 eV/cell
# Density ... 6.7 g/cm³
# E_form ... 0.28 eV/atom


Entry 4:
# PBE-GGA TiNbAu4, relaxed
data_TiNbAu4
_cell_length_a 3.0273
_cell_length_b 3.0273
_cell_length_c 11.6338
_cell_angle_alpha 90.00
_cell_angle_beta 90.00
_cell_angle_gamma 90.00
_symmetry_space_group_name_H-M 'P 4/m m m'
_symmetry_Int_Tables_number 123
_symmetry_space_group_name_Hall '-P 4 2'
loop_
_atom_site_label
_atom_site_type_symbol
_atom_site_fract_x
_atom_site_fract_y
_atom_site_fract_z
Ti1 Ti 0.0000 0.0000 0.0000
Nb1 Nb 0.5000 0.5000 0.5000
Au1 Au 0.0000 0.0000 0.3343
Au2 Au 0.5000 0.5000 0.1551
# E_tot ... -32.35 eV/cell
# Density ... 14.5 g/cm³
# E_form ... -0.21 eV/atom


Entry 5:
# PBE-GGA NaLi14Ge, relaxed
data_NaLi14Ge
_cell_length_a 6.8543
_cell_length_b 6.8543
_cell_length_c 6.7844
_cell_angle_alpha 90.00
_cell_angle_beta 90.00
_cell_angle_gamma 90.00
_symmetry_space_group_name_H-M 'P 4/m m m'
_symmetry_Int_Tables_number 123
_symmetry_space_group_name_Hall '-P 4 2'
loop_
_atom_site_label
_atom_site_type_symbol
_atom_site_fract_x
_atom_site_fract_y
_atom_site_fract_z
Na1 Na 0.0000 0.0000 0.0000
Li1 Li 0.0000 0.0000 0.5000
Li2 Li 0.0000 0.5000 0.0000
Li3 Li 0.0000 0.5000 0.5000
Li4 Li 0.2760 0.2760 0.2383
Li5 Li 0.5000 0.5000 0.5000
Ge1 Ge 0.5000 0.5000 0.0000
# E_tot ... -33.50 eV/cell
# Density ... 1.0 g/cm³
# E_form ... -0.05 eV/atom


Entry 6:
# PBE-GGA NbPb, relaxed
data_NbPb
_cell_length_a 4.9209
_cell_length_b 4.9209
_cell_length_c 5.6473
_cell_angle_alpha 90.00
_cell_angle_beta 90.00
_cell_angle_gamma 120.00
_symmetry_space_group_name_H-M 'P 63/m m c'
_symmetry_Int_Tables_number 194
_symmetry_space_group_name_Hall '-P 6c 2c'
loop_
_atom_site_label
_atom_site_type_symbol
_atom_site_fract_x
_atom_site_fract_y
_atom_site_fract_z
Nb1 Nb 0.3333 0.6667 0.2500
Pb1 Pb 0.3333 0.6667 0.7500
# E_tot ... -23.33 eV/cell
# Density ... 8.4 g/cm³
# E_form ... 1.06 eV/atom


Q: Which of these has the highest density?
A: TiNbAu4


Q: Number 5 is which compound?
A: NaLi14Ge